A plane-wave DFT calculation with PBE was carried out for a relaxed structure of YHo2TmSe5.

Values from the calculation:
formation energy without anion corrections	-1.1200	eV per atom

Lattice parameters (Å, degrees): 5.0925 5.0925 10.6670 90.00 90.00 90.00
Closest atoms and distances in Å follow each position.
Space group P4/mmm (No. 123)
One atom of each set of equivalent atoms:
Y (0.0000, 0.0000, 0.0000) x1  2 Se 2.64
Ho (0.5000, 0.5000, 0.3399) x2  4 Se 3.07, 1 Ho 3.42
Tm (0.0000, 0.0000, 0.5000) x1  6 Se 2.55-2.69
Se (0.0000, 0.0000, 0.2477) x2  1 Y 2.64, 1 Tm 2.69
Se (0.0000, 0.5000, 0.5000) x2  2 Tm 2.55
Se (0.5000, 0.5000, 0.0000) x1  4 Y 3.60, 2 Ho 3.63